Here is a relaxed MgIn2Ni crystal from Alexandria via LeMat-Bulk. Energies are from GGA-PBE.

Computed properties:
Space group = No. 99
Crystal system = tetragonal
Spin magnetization = 0.000 μB per formula unit
VASP energy = -13.0 eV per formula unit
N(E_F) = 1.68 states/eV/f.u.

Cell: 3.1546 3.1546 8.0813 Å, 90.00 90.00 90.00°
With the nearest neighbours (Å) after each atom.
Fractional coordinates of all 4 atoms:
1 In 0.0000 0.0000 0.9379  4 Ni 2.72
2 In 0.5000 0.5000 0.2585  8 In 3.15-3.42, 4 Mg 3.29
3 Mg 0.0000 0.0000 0.5574  4 Ni 2.70
4 Ni 0.5000 0.5000 0.7462  4 Mg 2.70, 4 In 2.72


Here is a relaxed Mn3Be2Co3 crystal from Alexandria via LeMat-Bulk. Energies are from GGA-PBE.

Computed properties:
Space group = No. 189
Crystal system = hexagonal
Spin magnetization = 0.000 μB per formula unit
VASP energy = -56.8 eV per formula unit
N(E_F) = 6.67 states/eV/f.u.

Cell: 2.4780 6.0265 6.0265 Å, 120.00 90.00 90.00°
With the nearest neighbours (Å) after each atom.
Fractional coordinates of all 8 atoms:
1 Mn 0.0000 0.7849 0.7849  4 Mn 2.25-2.48, 2 Be 2.44, 4 Co 2.50
2 Mn 0.0000 0.2151 0.0000  4 Mn 2.25-2.48, 2 Be 2.44, 4 Co 2.50
3 Mn 0.0000 0.0000 0.2151  4 Mn 2.25-2.48, 2 Be 2.44, 4 Co 2.50
4 Be 0.0000 0.3333 0.6667  6 Co 2.20, 3 Mn 2.44
5 Be 0.0000 0.6667 0.3333  6 Co 2.20, 3 Mn 2.44
6 Co 0.5000 0.4155 0.4155  4 Be 2.20
7 Co 0.5000 0.5845 0.0000  4 Be 2.20
8 Co 0.5000 0.0000 0.5845  4 Be 2.20


Here is a relaxed AlSiAu crystal from Alexandria via LeMat-Bulk. Energies are from GGA-PBE.

Computed properties:
Space group = No. 194
Crystal system = hexagonal
Spin magnetization = 0.000 μB per formula unit
VASP energy = -11.7 eV per formula unit
Formation energy without anion corrections = 248 meV per atom
N(E_F) = 1.00 states/eV/f.u.

Cell: 4.2107 4.2107 7.1163 Å, 90.00 90.00 120.00°
With the nearest neighbours (Å) after each atom.
Fractional coordinates of all 6 atoms:
1 Si 0.3333 0.6667 0.7500  3 Al 2.43
2 Si 0.6667 0.3333 0.2500  3 Al 2.43
3 Au 0.0000 0.0000 0.0000  6 Al 3.01, 6 Si 3.01
4 Au 0.0000 0.0000 0.5000  6 Al 3.01, 6 Si 3.01
5 Al 0.3333 0.6667 0.2500  3 Si 2.43
6 Al 0.6667 0.3333 0.7500  3 Si 2.43


Here is a relaxed K4PtW crystal from Alexandria via LeMat-Bulk. Energies are from GGA-PBE.

Computed properties:
Space group = No. 216
Crystal system = cubic
Spin magnetization = 5.012 μB per formula unit
VASP energy = -14.8 eV per formula unit
N(E_F) = 4.26 states/eV/f.u.

Cell: 6.5468 6.5468 6.5468 Å, 60.00 60.00 60.00°
With the nearest neighbours (Å) after each atom.
Fractional coordinates of all 6 atoms:
1 K 0.8717 0.3761 0.3761  6 K 3.24-3.30
2 K 0.3761 0.3761 0.8717  6 K 3.24-3.30
3 K 0.3761 0.8717 0.3761  6 K 3.24-3.30
4 K 0.3761 0.3761 0.3761  6 K 3.24-3.30
5 Pt 0.7500 0.7500 0.7500  12 K 3.84, 4 W 4.01
6 W 0.0000 0.0000 0.0000  12 K 3.84, 4 Pt 4.01


Here is a relaxed PuFePt crystal from Alexandria via LeMat-Bulk. Energies are from GGA-PBE.

Computed properties:
Space group = No. 156
Crystal system = trigonal
Spin magnetization = 8.064 μB per formula unit
VASP energy = -29.0 eV per formula unit
N(E_F) = 11.56 states/eV/f.u.

Cell: 2.8880 4.6564 4.6564 Å, 120.00 90.00 90.00°
With the nearest neighbours (Å) after each atom.
Fractional coordinates of all 3 atoms:
1 Fe 0.1687 0.3333 0.6667  3 Pt 2.69, 2 Fe 2.89
2 Pt 0.1650 0.0000 0.0000  3 Fe 2.69, 2 Pt 2.89
3 Pu 0.6664 0.6667 0.3333  2 Pu 2.89, 6 Fe 3.05, 6 Pt 3.05


Here is a relaxed ZnCuIN2 crystal from Alexandria via LeMat-Bulk. Energies are from GGA-PBE.

Computed properties:
Space group = No. 123
Crystal system = tetragonal
Energy relative to the lowest polymorph listed for this composition = 92 meV per atom
Spin magnetization = 3.269 μB per formula unit
VASP energy = -16.2 eV per formula unit
Formation energy without anion corrections = 1465 meV per atom
N(E_F) = 2.31 states/eV/f.u.

Cell: 3.8719 3.8719 7.1047 Å, 90.00 90.00 90.00°
With the nearest neighbours (Å) after each atom.
Fractional coordinates of all 5 atoms:
1 I 0.0000 0.0000 0.5000  4 Cu 2.74
2 Zn 0.0000 0.0000 0.0000  4 N 1.94
3 Cu 0.5000 0.5000 0.5000  4 I 2.74
4 N 0.0000 0.5000 0.0000  2 Zn 1.94
5 N 0.5000 0.0000 0.0000  2 Zn 1.94


Here is a relaxed BaNa6Pb2 crystal from Alexandria via LeMat-Bulk. Energies are from GGA-PBE.

Computed properties:
Space group = No. 123
Crystal system = tetragonal
Spin magnetization = 0.000 μB per formula unit
VASP energy = -18.7 eV per formula unit
N(E_F) = 3.85 states/eV/f.u.

Cell: 5.0837 5.0837 12.7666 Å, 90.00 90.00 90.00°
With the nearest neighbours (Å) after each atom.
Fractional coordinates of all 9 atoms:
1 Ba 0.0000 0.0000 0.0000  8 Pb 3.89, 8 Na 4.33
2 Na 0.0000 0.5000 0.2749  2 Pb 3.25, 4 Na 3.59
3 Na 0.5000 0.0000 0.2749  2 Pb 3.25, 4 Na 3.59
4 Na 0.0000 0.5000 0.7251  2 Pb 3.25, 4 Na 3.59
5 Na 0.5000 0.0000 0.7251  2 Pb 3.25, 4 Na 3.59
6 Na 0.5000 0.5000 0.5000  12 Na 3.59-3.84
7 Na 0.0000 0.0000 0.5000  12 Na 3.59-3.84
8 Pb 0.5000 0.5000 0.1165  1 Pb 2.97, 4 Na 3.25
9 Pb 0.5000 0.5000 0.8835  1 Pb 2.97, 4 Na 3.25


Here is a relaxed CeTlCd11 crystal from Alexandria via LeMat-Bulk. Energies are from GGA-PBE.

Computed properties:
Space group = No. 12
Crystal system = monoclinic
Spin magnetization = 1.283 μB per formula unit
VASP energy = -18.9 eV per formula unit
N(E_F) = 11.36 states/eV/f.u.

Cell: 6.0908 7.7529 7.7626 Å, 81.00 66.90 66.49°
With the nearest neighbours (Å) after each atom.
Fractional coordinates of all 13 atoms:
1 Ce 0.0000 0.0000 0.0000  18 Cd 3.57-3.88, 2 Tl 3.86
2 Tl 0.5000 0.5000 0.0000  10 Cd 3.04-3.19
3 Cd 0.2773 0.2080 0.2128  7 Cd 2.92-3.25, 1 Tl 3.04
4 Cd 0.7227 0.7920 0.7872  7 Cd 2.92-3.25, 1 Tl 3.04
5 Cd 0.5099 0.7920 0.2128  7 Cd 2.92-3.25, 1 Tl 3.04
6 Cd 0.4901 0.2080 0.7872  7 Cd 2.92-3.25, 1 Tl 3.04
7 Cd 0.3445 0.6503 0.6414  6 Cd 2.94-3.25, 1 Tl 3.19
8 Cd 0.6555 0.3497 0.3586  6 Cd 2.94-3.25, 1 Tl 3.19
9 Cd 0.0141 0.3497 0.6414  6 Cd 2.94-3.25, 1 Tl 3.19
10 Cd 0.9859 0.6503 0.3586  6 Cd 2.94-3.25, 1 Tl 3.19
11 Cd 0.0000 0.5000 0.0000  8 Cd 2.95-3.14, 2 Tl 3.05
12 Cd 0.5000 0.0000 0.5000  10 Cd 2.92-3.12
13 Cd 0.0000 0.0000 0.5000  10 Cd 2.92-3.12


Here is a relaxed Ce4Ga2Ir crystal from Alexandria via LeMat-Bulk. Energies are from GGA-PBE.

Computed properties:
Space group = No. 65
Crystal system = orthorhombic
Spin magnetization = 1.115 μB per formula unit
VASP energy = -41.7 eV per formula unit
N(E_F) = 13.67 states/eV/f.u.

Cell: 4.4863 5.9707 5.9707 Å, 95.77 90.00 90.00°
With the nearest neighbours (Å) after each atom.
Fractional coordinates of all 7 atoms:
1 Ir 0.5000 0.5000 0.5000  4 Ga 2.72, 4 Ce 2.99
2 Ga 0.0000 0.6744 0.3256  2 Ir 2.72
3 Ga 0.0000 0.3256 0.6744  2 Ir 2.72
4 Ce 0.0000 0.8307 0.8307  1 Ce 2.71
5 Ce 0.0000 0.1693 0.1693  1 Ce 2.71
6 Ce 0.5000 0.0000 0.5000  2 Ir 2.99, 4 Ga 3.08, 4 Ce 3.22
7 Ce 0.5000 0.5000 0.0000  2 Ir 2.99, 4 Ga 3.08, 4 Ce 3.22


Here is a relaxed Sr2TeMo crystal from Alexandria via LeMat-Bulk. Energies are from GGA-PBE.

Computed properties:
Space group = No. 216
Crystal system = cubic
Spin magnetization = 2.300 μB per formula unit
VASP energy = -15.6 eV per formula unit
Formation energy without anion corrections = 427 meV per atom
N(E_F) = 3.37 states/eV/f.u.

Cell: 5.3592 5.3592 5.3592 Å, 60.00 60.00 60.00°
With the nearest neighbours (Å) after each atom.
Fractional coordinates of all 4 atoms:
1 Mo 0.5000 0.5000 0.5000  4 Sr 3.28, 4 Te 3.28
2 Sr 0.0000 0.0000 0.0000  4 Te 3.28, 4 Sr 3.28
3 Sr 0.2500 0.2500 0.2500  4 Mo 3.28, 4 Sr 3.28
4 Te 0.7500 0.7500 0.7500  4 Sr 3.28, 4 Mo 3.28